Record 1
Here is MnV4Mo after structural relaxation from Alexandria. Energies are from GGA-PBE.

Polymorph energy (0 for the lowest one) (eV/f.u.): 0.00
Calculated volume (Å³/atom): 13.30
ΔE_f (meV per atom): -118

```
12
Lattice="2.704 -3.131 -5.926 -0.905 -3.764 1.576 -7.476 3.335 3.672" Properties=species:S:1:pos:R:3 pbc="T T T"
Mn 0.000 0.000 0.000
Mn 0.899 -3.448 -2.175
V 1.062 -4.459 -4.496
V -5.840 -2.550 1.643
V -1.591 -2.336 -0.950
V -4.987 2.223 2.447
V -6.740 0.898 3.818
V 0.163 -1.011 -2.321
V -4.087 -1.224 0.272
V -0.691 -5.784 -3.125
Mo -2.386 0.102 -1.127
Mo -4.191 -0.215 2.624
```

***

Record 2
Here is InSnRh after structural relaxation from Alexandria. Energies are from GGA-PBE.

Calculated volume (Å³/atom): 22.09
ΔE_f (meV per atom): -242

```
6
Lattice="4.636 0.000 0.000 0.000 5.103 -2.228 0.000 0.082 5.567" Properties=species:S:1:pos:R:3 pbc="T T T"
In 2.318 4.760 -1.696
In 0.000 3.411 0.400
Sn 0.000 0.882 4.326
Sn 2.318 2.004 2.583
Rh 0.000 3.440 3.181
Rh 0.000 0.866 1.523
```

***

Record 3
Here is Pr2NdHo after structural relaxation from Alexandria. Energies are from GGA-PBE.

Polymorph energy (0 for the lowest one) (eV/f.u.): 0.01
Calculated volume (Å³/atom): 34.67
ΔE_f (meV per atom): 17

```
4
Lattice="5.007 0.000 -1.339 -0.507 4.800 -1.896 -1.016 -0.447 6.231" Properties=species:S:1:pos:R:3 pbc="T T T"
Pr 3.484 4.353 2.996
Pr 3.121 0.977 1.640
Nd 0.363 3.376 1.357
Ho 2.250 2.400 -1.617
```

***

Record 4
Here is CdSnC3 after structural relaxation from Alexandria. Energies are from GGA-PBE.

Polymorph energy (0 for the lowest one) (eV/f.u.): 1.42
Calculated volume (Å³/atom): 16.34
ΔE_f (meV per atom): 3097

```
5
Lattice="4.339 0.000 0.000 0.000 4.339 0.000 0.000 0.000 4.339" Properties=species:S:1:pos:R:3 pbc="T T T"
C 0.000 2.169 0.000
C 0.000 0.000 2.169
C 2.169 0.000 0.000
Sn 2.169 2.169 2.169
Cd 0.000 0.000 0.000
```

***

Record 5
Here is Tb6NdSm3Tm2 after structural relaxation from Alexandria. Energies are from GGA-PBE.

Calculated volume (Å³/atom): 32.28
ΔE_f (meV per atom): 16

```
12
Lattice="6.188 0.001 0.011 -3.092 5.361 0.011 -1.049 -1.816 11.668" Properties=species:S:1:pos:R:3 pbc="T T T"
Tb 3.083 1.758 8.791
Tb 2.059 3.564 2.911
Tb -1.036 1.787 2.901
Tb -0.018 3.549 8.791
Tb -0.011 -0.019 8.780
Tb 2.066 -0.004 2.901
Nd 0.000 0.000 0.000
Sm -2.067 3.558 5.846
Sm 4.114 -0.012 5.846
Sm 1.024 1.773 5.846
Tm 0.001 3.575 0.011
Tm 3.096 1.787 0.011
```